Entry 1:
! Rb3InCu2Cl9, relaxed, DFT PBE-GGA; values from VASP
&SYSTEM
  ibrav = 0, nat = 15, ntyp = 4
/
ATOMIC_SPECIES
Rb 85.47 Rb.upf
In 114.82 In.upf
Cl 35.45 Cl.upf
Cu 63.55 Cu.upf
ATOMIC_POSITIONS crystal
Rb 0.0000 0.0000 0.0000
Rb 0.6667 0.3333 0.3278
Rb 0.3333 0.6667 0.6722
In 0.0000 0.0000 0.5000
Cl 0.8314 0.1686 0.6684
Cl 0.0000 0.5000 0.0000
Cl 0.5000 0.5000 0.0000
Cl 0.6627 0.8314 0.3316
Cl 0.8314 0.6627 0.6684
Cl 0.1686 0.3373 0.3316
Cl 0.3373 0.1686 0.6684
Cl 0.1686 0.8314 0.3316
Cl 0.5000 0.0000 0.0000
Cu 0.3333 0.6667 0.1386
Cu 0.6667 0.3333 0.8614
CELL_PARAMETERS angstrom
-4.1714 -4.5035 3.6602
7.0512 0.0848 1.1628
-1.1027 6.0951 6.2425
! E_tot ... -0.1204 Ha/atom
! V ... 25.93 Å³/atom
! ΔE_f (raw) ... -1.247 eV/atom

=====

Entry 2:
! Th3Ir2Pt, relaxed, DFT PBE-GGA; values from VASP
&SYSTEM
  ibrav = 0, nat = 12, ntyp = 3
/
ATOMIC_SPECIES
Th 232.04 Th.upf
Pt 195.08 Pt.upf
Ir 192.22 Ir.upf
ATOMIC_POSITIONS crystal
Th 0.8271 0.6533 0.9133
Th 0.1729 0.3467 0.0867
Th 0.1738 0.3467 0.5867
Th 0.8262 0.6533 0.4133
Th 0.4997 0.0000 0.7500
Th 0.5003 0.0000 0.2500
Pt 0.9997 0.0000 0.7500
Pt 0.0003 0.0000 0.2500
Ir 0.3354 0.6714 0.4179
Ir 0.3361 0.6714 0.9179
Ir 0.6639 0.3286 0.0821
Ir 0.6646 0.3286 0.5821
CELL_PARAMETERS angstrom
-0.6353 -5.5629 -1.7616
1.3483 0.7149 7.0349
-8.1470 1.2552 -1.0257
! E_tot ... -0.3215 Ha/atom
! V ... 25.33 Å³/atom

=====

Entry 3:
! La6CeHg, relaxed, DFT PBE-GGA; values from VASP
&SYSTEM
  ibrav = 0, nat = 8, ntyp = 3
/
ATOMIC_SPECIES
Hg 200.59 Hg.upf
La 138.91 La.upf
Ce 140.12 Ce.upf
ATOMIC_POSITIONS crystal
Hg 0.0000 0.0000 0.0000
La 0.8933 0.3933 0.2133
La 0.1067 0.6067 0.7867
La 0.6067 0.1067 0.7867
La 0.2635 0.2635 0.4730
La 0.7365 0.7365 0.5270
La 0.3933 0.8933 0.2133
Ce 0.5000 0.5000 0.0000
CELL_PARAMETERS angstrom
1.4061 5.4824 1.6508
3.0229 -2.1545 4.5803
8.4792 1.3471 -1.1681
! E_tot ... -0.1664 Ha/atom
! V ... 33.00 Å³/atom

=====

Entry 4:
! Pr2SbAu3, relaxed, DFT PBE-GGA; values from VASP
&SYSTEM
  ibrav = 0, nat = 6, ntyp = 3
/
ATOMIC_SPECIES
Au 196.97 Au.upf
Sb 121.76 Sb.upf
Pr 140.91 Pr.upf
ATOMIC_POSITIONS crystal
Au 0.5000 0.5000 0.6662
Au 0.5000 0.0000 0.1617
Au 0.5000 0.0000 0.8353
Sb 0.5000 0.5000 0.3337
Pr 0.0000 0.5000 0.9852
Pr 0.0000 0.0000 0.5179
CELL_PARAMETERS angstrom
3.7873 0.0000 0.0000
0.0000 4.7041 0.0000
0.0000 0.0000 8.4392
! E_tot ... -0.1732 Ha/atom
! V ... 25.06 Å³/atom
! Excess energy over the best structure of this formula in the dataset ... 29.6 meV/atom
! ΔE_f (raw) ... -0.794 eV/atom

=====

Entry 5:
! ZnTe2Ir, relaxed, DFT PBE-GGA; values from VASP
&SYSTEM
  ibrav = 0, nat = 8, ntyp = 3
/
ATOMIC_SPECIES
Zn 65.41 Zn.upf
Te 127.60 Te.upf
Ir 192.22 Ir.upf
ATOMIC_POSITIONS crystal
Zn 0.2500 0.7500 0.5000
Zn 0.5000 0.5000 0.0000
Te 0.3750 0.3558 0.7500
Te 0.1058 0.6250 0.2500
Te 0.6442 0.1250 0.2500
Te 0.8750 0.8942 0.7500
Ir 0.0000 0.0000 0.0000
Ir 0.7500 0.2500 0.5000
CELL_PARAMETERS angstrom
6.0529 0.0000 0.0000
0.0000 6.0529 0.0000
3.0264 3.0264 6.1189
! E_tot ... -0.1502 Ha/atom
! V ... 28.02 Å³/atom
! ΔE_f (raw) ... 0.017 eV/atom

=====

Entry 6:
! RhF6, relaxed, DFT PBE-GGA; values from VASP
&SYSTEM
  ibrav = 0, nat = 14, ntyp = 2
/
ATOMIC_SPECIES
Rh 102.91 Rh.upf
F 19.00 F.upf
ATOMIC_POSITIONS crystal
Rh 0.5000 0.0000 0.5000
Rh 0.0000 0.5000 0.0000
F 0.9038 0.9882 0.7973
F 0.8552 0.5877 0.4674
F 0.5877 0.8552 0.9674
F 0.4123 0.1448 0.0326
F 0.8158 0.4487 0.8709
F 0.0118 0.0962 0.7027
F 0.0962 0.0118 0.2027
F 0.9882 0.9038 0.2973
F 0.1448 0.4123 0.5326
F 0.5513 0.1842 0.6291
F 0.4487 0.8158 0.3709
F 0.1842 0.5513 0.1291
CELL_PARAMETERS angstrom
5.1593 1.5178 -0.3430
-5.1593 1.5178 -0.3430
0.0000 0.3243 13.9090
! E_tot ... -0.1325 Ha/atom
! V ... 15.64 Å³/atom
! ΔE_f (raw) ... -0.952 eV/atom

=====

Entry 7:
! Sc5ZnNi4, relaxed, DFT PBE-GGA; values from VASP
&SYSTEM
  ibrav = 0, nat = 10, ntyp = 3
/
ATOMIC_SPECIES
Ni 58.69 Ni.upf
Zn 65.41 Zn.upf
Sc 44.96 Sc.upf
ATOMIC_POSITIONS crystal
Ni 0.0000 0.0000 0.7933
Ni 0.0000 0.0000 0.2067
Ni 0.0000 0.0000 0.5974
Ni 0.0000 0.0000 0.4026
Zn 0.0000 0.0000 0.0000
Sc 0.5000 0.5000 0.5000
Sc 0.5000 0.5000 0.3060
Sc 0.5000 0.5000 0.8862
Sc 0.5000 0.5000 0.6940
Sc 0.5000 0.5000 0.1138
CELL_PARAMETERS angstrom
-1.1274 2.4654 1.6554
-1.6234 -1.9943 1.8646
12.8274 -0.9502 10.1515
! E_tot ... -0.2233 Ha/atom
! V ... 16.53 Å³/atom

=====

Entry 8:
! BaTcAg2Sn, relaxed, DFT PBE-GGA; values from VASP
&SYSTEM
  ibrav = 0, nat = 5, ntyp = 4
/
ATOMIC_SPECIES
Tc 98.00 Tc.upf
Ba 137.33 Ba.upf
Ag 107.87 Ag.upf
Sn 118.71 Sn.upf
ATOMIC_POSITIONS crystal
Tc 0.0000 0.5000 0.0000
Ba 0.0000 0.0000 0.0000
Ag 0.5000 0.0000 0.0000
Ag 0.0000 0.0000 0.5000
Sn 0.5000 0.5000 0.5000
CELL_PARAMETERS angstrom
5.7374 0.0000 0.0000
0.0000 5.2235 0.0000
0.0000 0.0000 5.7374
! E_tot ... -0.1008 Ha/atom
! V ... 34.39 Å³/atom

=====

Entry 9:
! U2InPt2, relaxed, DFT PBE-GGA; values from VASP
&SYSTEM
  ibrav = 0, nat = 10, ntyp = 3
/
ATOMIC_SPECIES
Pt 195.08 Pt.upf
U 238.03 U.upf
In 114.82 In.upf
ATOMIC_POSITIONS crystal
Pt 0.0000 0.3653 0.1347
Pt 0.0000 0.8653 0.3653
Pt 0.0000 0.1347 0.6347
Pt 0.0000 0.6347 0.8653
U 0.5000 0.6670 0.1670
U 0.5000 0.1670 0.3330
U 0.5000 0.8330 0.6670
U 0.5000 0.3330 0.8330
In 0.0000 0.0000 0.0000
In 0.0000 0.5000 0.5000
CELL_PARAMETERS angstrom
-0.4072 0.6775 -3.5661
3.4421 -6.7730 -1.6799
-6.9241 -3.5478 0.1166
! E_tot ... -0.2948 Ha/atom
! V ... 22.11 Å³/atom

=====

Entry 10:
! La3Sm2Tm3, relaxed, DFT PBE-GGA; values from VASP
&SYSTEM
  ibrav = 0, nat = 8, ntyp = 3
/
ATOMIC_SPECIES
Sm 150.36 Sm.upf
Tm 168.93 Tm.upf
La 138.91 La.upf
ATOMIC_POSITIONS crystal
Sm 0.7484 0.2484 0.4969
Sm 0.2516 0.7516 0.5031
Tm 0.8736 0.8736 0.7472
Tm 0.1264 0.1264 0.2528
Tm 0.0000 0.5000 0.0000
La 0.3774 0.3774 0.7548
La 0.5000 0.0000 0.0000
La 0.6226 0.6226 0.2452
CELL_PARAMETERS angstrom
5.0249 0.0000 0.0000
0.0000 5.1588 0.0000
-2.5124 -2.5794 10.3603
! E_tot ... -0.1717 Ha/atom
! V ... 33.57 Å³/atom
! Excess energy over the best structure of this formula in the dataset ... 0.0 meV/atom

=====

Entry 11:
! NpScAgSe4, relaxed, DFT PBE-GGA; values from VASP
&SYSTEM
  ibrav = 0, nat = 14, ntyp = 4
/
ATOMIC_SPECIES
Ag 107.87 Ag.upf
Se 78.96 Se.upf
Np 237.00 Np.upf
Sc 44.96 Sc.upf
ATOMIC_POSITIONS crystal
Ag 0.6404 0.6096 0.1096
Ag 0.3596 0.3904 0.8904
Se 0.2472 0.2252 0.2804
Se 0.7528 0.7748 0.7196
Se 0.2487 0.2400 0.7400
Se 0.2287 0.7600 0.2600
Se 0.2472 0.7804 0.7252
Se 0.7528 0.2196 0.2748
Se 0.7713 0.2400 0.7400
Se 0.7513 0.7600 0.2600
Np 0.0000 0.0000 0.0000
Np 0.0000 0.5000 0.5000
Sc 0.0000 0.0000 0.5000
Sc 0.5000 0.0000 0.5000
CELL_PARAMETERS angstrom
7.9733 0.0000 0.0000
3.9867 7.0594 -0.0368
3.9867 2.1156 6.7351
! E_tot ... -0.2290 Ha/atom
! V ... 27.12 Å³/atom
! ΔE_f (raw) ... -1.081 eV/atom

=====

Entry 12:
! NaSr2AlGe2, relaxed, DFT PBE-GGA; values from VASP
&SYSTEM
  ibrav = 0, nat = 12, ntyp = 4
/
ATOMIC_SPECIES
Ge 72.64 Ge.upf
Sr 87.62 Sr.upf
Al 26.98 Al.upf
Na 22.99 Na.upf
ATOMIC_POSITIONS crystal
Ge 0.6032 0.3906 0.7812
Ge 0.3968 0.6094 0.2188
Ge 0.8219 0.1094 0.2188
Ge 0.1781 0.8906 0.7812
Sr 0.9125 0.6679 0.3358
Sr 0.5767 0.8321 0.6642
Sr 0.0875 0.3321 0.6642
Sr 0.4233 0.1679 0.3358
Al 0.5000 0.7500 0.0000
Al 0.5000 0.2500 0.0000
Na 0.0000 0.2500 0.0000
Na 0.0000 0.7500 0.0000
CELL_PARAMETERS angstrom
6.7453 0.0000 0.0000
0.0000 6.4633 0.0000
-3.3726 -3.2316 7.3540
! E_tot ... -0.1236 Ha/atom
! V ... 26.72 Å³/atom

=====

Entry 13:
! TbDyTh2, relaxed, DFT PBE-GGA; values from VASP
&SYSTEM
  ibrav = 0, nat = 4, ntyp = 3
/
ATOMIC_SPECIES
Th 232.04 Th.upf
Tb 158.93 Tb.upf
Dy 162.50 Dy.upf
ATOMIC_POSITIONS crystal
Th 0.0000 0.5000 0.0000
Th 0.0000 0.0000 0.5000
Tb 0.5000 0.0000 0.0000
Dy 0.5000 0.5000 0.5000
CELL_PARAMETERS angstrom
-1.0580 2.9043 -4.0482
-4.6986 0.5852 1.6479
1.4048 4.0768 2.5577
! E_tot ... -0.2193 Ha/atom
! V ... 32.01 Å³/atom
! Excess energy over the best structure of this formula in the dataset ... 20.6 meV/atom

=====

Entry 14:
! Cs2KU2S7, relaxed, DFT PBE-GGA; values from VASP
&SYSTEM
  ibrav = 0, nat = 12, ntyp = 4
/
ATOMIC_SPECIES
S 32.06 S.upf
Cs 132.91 Cs.upf
U 238.03 U.upf
K 39.10 K.upf
ATOMIC_POSITIONS crystal
S 0.4094 0.9094 0.1808
S 0.3183 0.3183 0.3631
S 0.6817 0.6817 0.6369
S 0.5000 0.5000 0.0000
S 0.0906 0.5906 0.8192
S 0.9094 0.4094 0.1808
S 0.5906 0.0906 0.8192
Cs 0.8139 0.8139 0.3723
Cs 0.1861 0.1861 0.6277
U 0.4066 0.4066 0.1864
U 0.5934 0.5934 0.8136
K 0.0000 0.0000 0.0000
CELL_PARAMETERS angstrom
-1.6732 4.9451 0.1364
-2.5165 -0.7262 -4.5180
-13.4731 -1.9256 4.7873
! E_tot ... -0.2149 Ha/atom
! V ... 31.69 Å³/atom
! ΔE_f (raw) ... -1.324 eV/atom

=====

Entry 15:
! PaMnNiSn, relaxed, DFT PBE-GGA; values from VASP
&SYSTEM
  ibrav = 0, nat = 4, ntyp = 4
/
ATOMIC_SPECIES
Mn 54.94 Mn.upf
Sn 118.71 Sn.upf
Ni 58.69 Ni.upf
Pa 231.04 Pa.upf
ATOMIC_POSITIONS crystal
Mn 0.0000 0.0000 0.0000
Sn 0.2500 0.2500 0.2500
Ni 0.5000 0.5000 0.5000
Pa 0.7500 0.7500 0.7500
CELL_PARAMETERS angstrom
4.6645 0.0000 0.0000
2.3322 4.0395 0.0000
2.3322 1.3465 3.8085
! E_tot ... -0.2659 Ha/atom
! V ... 17.94 Å³/atom

=====

Entry 16:
! KPtSCl2, relaxed, DFT PBE-GGA; values from VASP
&SYSTEM
  ibrav = 0, nat = 5, ntyp = 4
/
ATOMIC_SPECIES
K 39.10 K.upf
Cl 35.45 Cl.upf
S 32.06 S.upf
Pt 195.08 Pt.upf
ATOMIC_POSITIONS crystal
K 0.5000 0.5000 0.5000
Cl 0.0000 0.5000 0.0000
Cl 0.5000 0.0000 0.0000
S 0.0000 0.0000 0.5000
Pt 0.0000 0.0000 0.0000
CELL_PARAMETERS angstrom
-2.5621 -4.0913 2.0128
4.3478 -2.8877 -0.3353
1.1884 1.3055 4.1663
! E_tot ... -0.1348 Ha/atom
! V ... 24.75 Å³/atom
! Excess energy over the best structure of this formula in the dataset ... 0.0 meV/atom
! ΔE_f (raw) ... -0.675 eV/atom

=====

Entry 17:
! Cd3W, relaxed, DFT PBE-GGA; values from VASP
&SYSTEM
  ibrav = 0, nat = 8, ntyp = 2
/
ATOMIC_SPECIES
Cd 112.41 Cd.upf
W 183.84 W.upf
ATOMIC_POSITIONS crystal
Cd 0.1277 0.1277 0.0000
Cd 0.8723 0.8723 0.0000
Cd 0.5000 0.0000 0.5000
Cd 0.2500 0.7500 0.5000
Cd 0.7500 0.2500 0.5000
Cd 0.0000 0.5000 0.5000
W 0.3841 0.3841 0.0000
W 0.6159 0.6159 0.0000
CELL_PARAMETERS angstrom
-2.0871 2.0871 8.8859
2.0871 -2.0871 8.8859
2.0871 2.0871 -8.8859
! E_tot ... -0.1201 Ha/atom
! V ... 19.35 Å³/atom
! Excess energy over the best structure of this formula in the dataset ... 270.7 meV/atom

=====

Entry 18:
! GdURh2, relaxed, DFT PBE-GGA; values from VASP
&SYSTEM
  ibrav = 0, nat = 4, ntyp = 3
/
ATOMIC_SPECIES
Gd 157.25 Gd.upf
Rh 102.91 Rh.upf
U 238.03 U.upf
ATOMIC_POSITIONS crystal
Gd 0.5000 0.5000 0.5000
Rh 0.0000 0.0000 0.7764
Rh 0.0000 0.0000 0.2236
U 0.5000 0.5000 0.0000
CELL_PARAMETERS angstrom
-1.0833 -1.2765 -2.9573
3.1627 -1.0128 -0.7213
-1.2708 -6.2083 3.1453
! E_tot ... -0.3894 Ha/atom
! V ... 20.43 Å³/atom
! Excess energy over the best structure of this formula in the dataset ... 0.0 meV/atom

=====

Entry 19:
! Zr2BeS, relaxed, DFT PBE-GGA; values from VASP
&SYSTEM
  ibrav = 0, nat = 8, ntyp = 3
/
ATOMIC_SPECIES
Zr 91.22 Zr.upf
Be 9.01 Be.upf
S 32.06 S.upf
ATOMIC_POSITIONS crystal
Zr 0.3750 0.3920 0.7500
Zr 0.6080 0.1250 0.2500
Zr 0.1420 0.6250 0.2500
Zr 0.8750 0.8580 0.7500
Be 0.2500 0.7500 0.5000
Be 0.5000 0.5000 0.0000
S 0.7500 0.2500 0.5000
S 0.0000 0.0000 0.0000
CELL_PARAMETERS angstrom
-1.8059 5.1629 -0.8752
0.1424 -0.8770 -5.4675
-6.4765 0.1965 -3.0062
! E_tot ... -0.2285 Ha/atom
! V ... 22.91 Å³/atom
! Excess energy over the best structure of this formula in the dataset ... 854.8 meV/atom
! ΔE_f (raw) ... 0.020 eV/atom

=====

Entry 20:
! CaMg2Mn, relaxed, DFT PBE-GGA; values from VASP
&SYSTEM
  ibrav = 0, nat = 4, ntyp = 3
/
ATOMIC_SPECIES
Mg 24.30 Mg.upf
Ca 40.08 Ca.upf
Mn 54.94 Mn.upf
ATOMIC_POSITIONS crystal
Mg 0.4889 0.4889 0.4889
Mg 0.0111 0.0111 0.0111
Ca 0.2500 0.2500 0.2500
Mn 0.7500 0.7500 0.7500
CELL_PARAMETERS angstrom
-7.4438 -3.1891 -6.6534
-7.6588 -5.6123 -4.4378
-9.2924 -2.7964 -3.9599
! E_tot ... -0.1194 Ha/atom
! V ... 24.16 Å³/atom

=====

Entry 21:
! Hf6FeNi2, relaxed, DFT PBE-GGA; values from VASP
&SYSTEM
  ibrav = 0, nat = 18, ntyp = 3
/
ATOMIC_SPECIES
Hf 178.49 Hf.upf
Ni 58.69 Ni.upf
Fe 55.84 Fe.upf
ATOMIC_POSITIONS crystal
Hf 0.3587 0.7890 0.4385
Hf 0.1413 0.2890 0.0615
Hf 0.3420 0.8446 0.0495
Hf 0.1630 0.0529 0.7536
Hf 0.8587 0.7110 0.9385
Hf 0.8420 0.6554 0.5495
Hf 0.6413 0.2110 0.5615
Hf 0.8370 0.9471 0.2464
Hf 0.1580 0.3446 0.4505
Hf 0.6630 0.4471 0.2536
Hf 0.3370 0.5529 0.7464
Hf 0.6580 0.1554 0.9505
Ni 0.6125 0.9001 0.7218
Ni 0.1125 0.5999 0.2218
Ni 0.8875 0.4001 0.7782
Ni 0.3875 0.0999 0.2782
Fe 0.5000 0.5000 0.0000
Fe 0.0000 0.0000 0.5000
CELL_PARAMETERS angstrom
-1.1002 1.6595 -5.0854
2.6430 -5.9098 -2.5003
-7.9789 -3.7027 0.3174
! E_tot ... -0.3317 Ha/atom
! V ... 18.53 Å³/atom

=====

Entry 22:
! LiPr3Pt3, relaxed, DFT PBE-GGA; values from VASP
&SYSTEM
  ibrav = 0, nat = 14, ntyp = 3
/
ATOMIC_SPECIES
Pr 140.91 Pr.upf
Pt 195.08 Pt.upf
Li 6.94 Li.upf
ATOMIC_POSITIONS crystal
Pr 0.7379 0.7536 0.7707
Pr 0.3961 0.2850 0.9228
Pr 0.2621 0.2464 0.2293
Pr 0.5290 0.3282 0.6138
Pr 0.4710 0.6718 0.3862
Pr 0.6039 0.7150 0.0772
Pt 0.8679 0.7105 0.5536
Pt 0.0236 0.1885 0.7642
Pt 0.9764 0.8115 0.2358
Pt 0.8749 0.1722 0.0780
Pt 0.1321 0.2895 0.4464
Pt 0.1251 0.8278 0.9220
Li 0.2353 0.9417 0.5877
Li 0.7647 0.0583 0.4123
CELL_PARAMETERS angstrom
4.1186 0.0000 0.6204
2.0307 5.6293 0.5002
-0.0211 0.0161 14.1206
! E_tot ... -0.2150 Ha/atom
! V ... 23.39 Å³/atom

=====

Entry 23:
! Sr7SeBr12, relaxed, DFT PBE-GGA; values from VASP
&SYSTEM
  ibrav = 0, nat = 20, ntyp = 3
/
ATOMIC_SPECIES
Br 79.90 Br.upf
Sr 87.62 Sr.upf
Se 78.96 Se.upf
ATOMIC_POSITIONS crystal
Br 0.8382 0.6375 0.5476
Br 0.0690 0.6834 0.2046
Br 0.2046 0.0690 0.6834
Br 0.6834 0.2046 0.0690
Br 0.1618 0.3625 0.4524
Br 0.3166 0.7954 0.9310
Br 0.9310 0.3166 0.7954
Br 0.6375 0.5476 0.8382
Br 0.7954 0.9310 0.3166
Br 0.5476 0.8382 0.6375
Br 0.4524 0.1618 0.3625
Br 0.3625 0.4524 0.1618
Sr 0.6541 0.8720 0.9761
Sr 0.1280 0.0239 0.3459
Sr 0.9761 0.6541 0.8720
Sr 0.5000 0.5000 0.5000
Sr 0.3459 0.1280 0.0239
Sr 0.8720 0.9761 0.6541
Sr 0.0239 0.3459 0.1280
Se 0.0000 0.0000 0.0000
CELL_PARAMETERS angstrom
0.1082 5.7304 -8.1309
-7.3256 -6.6184 -1.2215
-2.6143 5.8370 7.6194
! E_tot ... -0.1419 Ha/atom
! V ... 41.09 Å³/atom
! ΔE_f (raw) ... -2.094 eV/atom